[1]
Density functional theory data (PBE) for Al2HIO after structural relaxation.

Values from the calculation:
density of states at the Fermi level	0.4	states/eV/cell
final energy	-15.30	eV/f.u.

abc: 5.1191 5.1191 3.2411
angles: 90.00 90.00 90.00
Last column: nearest neighbours and their distance in Å.
Fractional positions:
Al: 0.0000 0.5000 0.0000  2 H 2.56
Al: 0.5000 0.0000 0.0000  2 H 2.56
H: 0.0000 0.0000 0.0000  2 O 1.62
I: 0.5000 0.5000 0.5000  8 Al 3.03, 2 I 3.24
O: 0.0000 0.0000 0.5000  2 H 1.62

[2]
Density functional theory data (PBE) for SrBe2HgPt after structural relaxation.

Values from the calculation:
density of states at the Fermi level	0.2	states/eV/cell
DFT formation energy	1.58	eV/atom

abc: 6.1656 6.1656 5.4235
angles: 90.00 90.00 90.00
Last column: nearest neighbours and their distance in Å.
Fractional positions:
Sr: 0.0000 0.0000 0.0000  2 Pt 2.71
Be: 0.0000 0.5000 0.0000  2 Sr 3.08
Be: 0.5000 0.0000 0.0000  2 Sr 3.08
Hg: 0.5000 0.5000 0.5000  8 Be 4.11, 4 Pt 4.36
Pt: 0.0000 0.0000 0.5000  2 Sr 2.71

[3]
Density functional theory data (PBE) for Pm3Al4Ge2 after structural relaxation.

Values from the calculation:
density of states at the Fermi level	3.8	states/eV/cell
DFT formation energy	-0.61	eV/atom

abc: 6.0229 6.0229 8.5788
angles: 101.57 101.57 41.85
Last column: nearest neighbours and their distance in Å.
Fractional positions:
Pm: 0.0000 0.0000 0.0000  8 Al 3.21-3.30, 4 Ge 3.26
Pm: 0.3322 0.3322 0.3354  8 Al 3.21-3.33, 4 Ge 3.23-3.29
Pm: 0.6678 0.6678 0.6646  8 Al 3.21-3.33, 4 Ge 3.23-3.29
Al: 0.0493 0.0493 0.3828  2 Ge 2.49, 1 Al 2.50
Al: 0.2718 0.2718 0.9382  1 Ge 2.49, 2 Al 2.49
Al: 0.7282 0.7282 0.0618  1 Ge 2.49, 2 Al 2.49
Al: 0.9507 0.9507 0.6172  2 Ge 2.49, 1 Al 2.50
Ge: 0.3875 0.3875 0.7214  3 Al 2.49
Ge: 0.6125 0.6125 0.2786  3 Al 2.49